# Li2Cd3Pb3

A relaxed structure of Li2Cd3Pb3 (PBE, Alexandria).

Cell lengths 5.894, 5.894, 5.894 Å; angles 89.31, 89.31, 89.31 degrees
Fractional coordinates of all 8 atoms:
Li (0.248, 0.248, 0.248)
Li (0.752, 0.752, 0.752)
Cd (0.269, 0.500, 0.731)
Cd (0.500, 0.731, 0.269)
Cd (0.731, 0.269, 0.500)
Pb (0.000, 0.752, 0.248)
Pb (0.248, 0.000, 0.752)
Pb (0.752, 0.248, 0.000)

Properties
DOS(E_F), states/eV/f.u.: 2.99
Energy of formation, eV per atom: -0.039
Total energy, eV/atom: -2.25

# Li3Cd4Pb

A relaxed structure of Li3Cd4Pb (PBE, Alexandria).

Cell lengths 9.715, 9.715, 3.944 Å; angles 101.39, 101.39, 27.31 degrees
Fractional coordinates of all 8 atoms:
Li (0.000, 0.000, 0.000)
Li (0.248, 0.248, 0.247)
Li (0.752, 0.752, 0.753)
Cd (0.133, 0.133, 0.637)
Cd (0.360, 0.360, 0.858)
Cd (0.640, 0.640, 0.142)
Cd (0.867, 0.867, 0.363)
Pb (0.500, 0.500, 0.500)

Properties
DOS(E_F), states/eV/f.u.: 3.31
E above lowest polymorph, meV per atom: 0
Energy of formation, eV per atom: -0.176
Total energy, eV/atom: -1.81

# LiCdPb

A relaxed structure of LiCdPb (PBE, Alexandria).

Cell lengths 5.637, 5.637, 6.325 Å; angles 107.52, 107.52, 48.43 degrees
Fractional coordinates of all 6 atoms:
Li (0.000, 0.000, 0.000)
Li (0.670, 0.670, 0.375)
Cd (0.360, 0.360, 0.180)
Cd (0.994, 0.994, 0.478)
Pb (0.328, 0.328, 0.661)
Pb (0.669, 0.669, 0.885)

Properties
DOS(E_F), states/eV/f.u.: 1.29
E above lowest polymorph, meV per atom: 27
Energy of formation, eV per atom: -0.138
Total energy, eV/atom: -2.32